[1]
A plane-wave DFT calculation with SCAN was carried out for ZrTcMo2 at its PBEsol-relaxed geometry.

abc: 4.4903 4.4903 4.4903
angles: 60.00 60.00 60.00
Sites, in units of the cell vectors:
Mo: 0.0000 0.0000 0.0000
Mo: 0.7500 0.7500 0.7500
Tc: 0.5000 0.5000 0.5000
Zr: 0.2500 0.2500 0.2500

Values from the calculation:
energy above the lowest structure with this stoichiometry: 0.0000 eV per atom
formation enthalpy at 0 K: -0.146 eV per atom
calculated total energy: -34.03 eV per atom



[2]
A plane-wave DFT calculation with SCAN was carried out for Cu2SiMo at its PBEsol-relaxed geometry.

abc: 2.5916 4.4321 5.1824
angles: 114.55 103.25 92.80
Sites, in units of the cell vectors:
Cu: 0.0000 0.0000 0.5000
Cu: 0.5000 0.5000 0.5000
Mo: 0.5000 0.0000 0.0000
Si: 0.0000 0.5000 0.0000

Values from the calculation:
uncorrected formation energy: 0.07 eV/atom
calculated total energy: -18.76 eV per atom



[3]
A plane-wave DFT calculation with SCAN was carried out for Cd3Au2 at its PBEsol-relaxed geometry.

abc: 3.2362 5.1228 6.1720
angles: 78.28 74.80 71.59
Sites, in units of the cell vectors:
Au: 0.2955 0.6051 0.8039
Au: 0.7045 0.3949 0.1961
Cd: 0.0981 0.2106 0.5931
Cd: 0.5000 0.0000 0.0000
Cd: 0.9019 0.7894 0.4069

Values from the calculation:
energy above the lowest structure with this stoichiometry: 0.0998 eV per atom
formation enthalpy at 0 K: -0.157 eV per atom
calculated total energy: -46.07 eV per atom



[4]
A plane-wave DFT calculation with SCAN was carried out for Fe2AgMo at its PBEsol-relaxed geometry.

abc: 2.6054 2.6054 8.3992
angles: 90.00 90.00 107.23
Last column: magnetic moment on the atom in μB.
Sites, in units of the cell vectors:
Ag: 0.5000 0.5000 0.0000  -0.01
Fe: 0.0000 0.0000 0.2595  2.77
Fe: 0.0000 0.0000 0.7405  2.77
Mo: 0.5000 0.5000 0.5000  -0.43

Values from the calculation:
energy above the lowest structure with this stoichiometry: 0.0000 eV per atom
formation enthalpy at 0 K: 0.260 eV per atom
calculated total energy: -25.37 eV per atom



[5]
A plane-wave DFT calculation with SCAN was carried out for Al2IrRu at its PBEsol-relaxed geometry.

abc: 2.9786 4.2118 4.2118
angles: 90.00 90.00 90.00
Sites, in units of the cell vectors:
Ru: 0.5000 0.0000 0.0000
Ir: 0.5000 0.5000 0.5000
Al: 0.0000 0.0000 0.5000
Al: 0.0000 0.5000 0.0000

Values from the calculation:
formation enthalpy at 0 K: -1.112 eV per atom
calculated total energy: -31.47 eV per atom



[6]
A plane-wave DFT calculation with SCAN was carried out for K2AsPt at its PBEsol-relaxed geometry.

abc: 4.3145 5.6286 5.9975
angles: 117.99 111.08 90.00
Sites, in units of the cell vectors:
As: 0.1730 0.6730 0.3459
K: 0.9639 0.9639 0.9277
K: 0.7816 0.2816 0.5632
Pt: 0.5816 0.5816 0.1632

Values from the calculation:
formation enthalpy at 0 K: -0.556 eV per atom
calculated total energy: -27.32 eV per atom



[7]
A plane-wave DFT calculation with SCAN was carried out for BaMn2Cl at its PBEsol-relaxed geometry.

abc: 4.1333 4.1333 7.0337
angles: 107.09 107.09 90.00
Last column: magnetic moment on the atom in μB.
Sites, in units of the cell vectors:
Mn: 0.7500 0.2500 0.5000  4.38
Mn: 0.2500 0.7500 0.5000  4.38
Ba: 0.5000 0.5000 0.0000  -0.03
Cl: 0.0000 0.0000 0.0000  0.03

Values from the calculation:
uncorrected formation energy: -0.32 eV/atom
calculated total energy: -21.33 eV per atom



[8]
A plane-wave DFT calculation with SCAN was carried out for CaTiAgC2 at its PBEsol-relaxed geometry.

abc: 4.2307 4.2307 4.8049
angles: 90.00 90.00 90.00
Last column: magnetic moment on the atom in μB.
Sites, in units of the cell vectors:
Ca: 0.5000 0.5000 0.5000  0.13
C: 0.0000 0.5000 0.0000  -0.13
C: 0.5000 0.0000 0.0000  -0.13
Ag: 0.0000 0.0000 0.0000  0.02
Ti: 0.0000 0.0000 0.5000  1.80

Values from the calculation:
formation enthalpy at 0 K: 2.059 eV per atom
calculated total energy: -13.39 eV per atom



Number 1: total magnetization 0.0 Bohr magnetons per cell. Number 2: total magnetization 0.0 Bohr magnetons per cell. Number 3: total magnetization 0.0 Bohr magnetons per cell. Number 4: total magnetization 5.0 Bohr magnetons per cell. Number 5: total magnetization 0.0 Bohr magnetons per cell. Number 6: total magnetization 0.0 Bohr magnetons per cell. Number 7: total magnetization 9.3 Bohr magnetons per cell. Number 8: total magnetization 2.0 Bohr magnetons per cell.